! Hg2BF, relaxed, DFT PBE-GGA; values from VASP
&SYSTEM
  ibrav = 0, nat = 4, ntyp = 3
/
ATOMIC_SPECIES
Hg 200.59 Hg.upf
B 10.81 B.upf
F 19.00 F.upf
ATOMIC_POSITIONS crystal
Hg 0.2500 0.2500 0.2500
Hg 0.7500 0.7500 0.7500
B 0.0000 0.0000 0.0000
F 0.5000 0.5000 0.5000
CELL_PARAMETERS angstrom
0.0000 3.1856 3.1856
3.1856 0.0000 3.1856
3.1856 3.1856 0.0000
! * DFT total energy: -7.44 eV/cell
! * space-group type: Fm-3m, No. 225
! * total magnetization: 0.00 μB per formula unit
! * energy above the most stable polymorph in this dataset: 364 meV/atom
! * E_form (uncorrected): 0.427 eV per atom